(1)
PBE NaPaBr5, relaxed; formation energy (no corrections) = -140.9 kJ per mole of atoms; size of the total moment = 1.002 μB per formula unit; energy above the most stable polymorph in this dataset = 0 meV/atom
1.0
-0.083 -1.650 8.431
7.741 -3.690 0.531
0.807 9.389 -4.439
Na Pa Br
2 2 10
direct
0.634 0.884 0.250 Na
0.366 0.116 0.750 Na
0.000 0.000 0.000 Pa
0.000 0.500 0.500 Pa
0.289 0.880 0.255 Br
0.115 0.794 0.510 Br
0.375 0.466 0.755 Br
0.076 0.326 0.250 Br
0.284 0.105 0.990 Br
0.716 0.895 0.010 Br
0.924 0.674 0.750 Br
0.625 0.534 0.245 Br
0.885 0.206 0.490 Br
0.711 0.120 0.745 Br



(2)
PBE Na3PaBr8, relaxed; formation energy (no corrections) = -132.0 kJ per mole of atoms; size of the total moment = 0.000 μB per formula unit
1.0
-5.435 4.631 0.831
-1.061 -2.443 6.676
4.583 4.925 2.530
Na Pa Br
3 1 8
direct
0.500 0.500 0.000 Na
0.500 0.000 0.500 Na
0.000 0.500 0.500 Na
0.000 0.000 0.000 Pa
0.235 0.235 0.765 Br
0.235 0.765 0.235 Br
0.765 0.235 0.235 Br
0.765 0.765 0.765 Br
0.765 0.765 0.235 Br
0.765 0.235 0.765 Br
0.235 0.765 0.765 Br
0.235 0.235 0.235 Br